The following is a PBE calculation of crystalline MgNi2Au2 at its relaxed geometry, from Alexandria via LeMat-Bulk.

The formation energy from the elements is -0.023 eV/atom. The calculation puts the energy relative to the lowest polymorph listed for this composition at 59 meV per atom.

a b c (Å): 7.211 7.211 3.075
angles (deg): 90.00 90.00 90.00
Positions (direct):
Au  0.353  0.853  0.000
Au  0.853  0.647  0.000
Au  0.147  0.353  0.000
Au  0.647  0.147  0.000
Mg  0.500  0.500  0.000
Mg  0.000  0.000  0.000
Ni  0.650  0.850  0.500
Ni  0.850  0.350  0.500
Ni  0.150  0.650  0.500
Ni  0.350  0.150  0.500


The following is a PBE calculation of crystalline BaOsRu at its relaxed geometry, from Alexandria via LeMat-Bulk.

The formation energy from the elements is 0.411 eV/atom. The calculation puts the energy relative to the lowest polymorph listed for this composition at 77 meV per atom.

a b c (Å): 4.596 4.596 7.315
angles (deg): 90.00 90.00 90.00
Positions (direct):
Os  0.000  0.500  0.369
Os  0.500  0.000  0.631
Ba  0.500  0.000  0.156
Ba  0.000  0.500  0.844
Ru  0.000  0.000  0.500
Ru  0.500  0.500  0.500


The following is a PBE calculation of crystalline Ac2PmMo2N6 at its relaxed geometry, from Alexandria via LeMat-Bulk.

The calculation puts the uncorrected formation energy at -0.812 eV/atom.

a b c (Å): 5.928 5.928 7.240
angles (deg): 65.83 65.83 60.00
Positions (direct):
N  0.740  0.232  0.289
N  0.260  0.768  0.711
N  0.232  0.740  0.289
N  0.260  0.260  0.711
N  0.768  0.260  0.711
N  0.740  0.740  0.289
Ac  0.795  0.795  0.615
Ac  0.205  0.205  0.385
Mo  0.600  0.600  0.201
Mo  0.400  0.400  0.799
Pm  0.000  0.000  0.000


The following is a PBE calculation of crystalline PS2NCl at its relaxed geometry, from Alexandria via LeMat-Bulk.

The calculation puts the uncorrected formation energy at 2.295 eV/atom. The calculation puts the energy relative to the lowest polymorph listed for this composition at 1392 meV per atom.

a b c (Å): 4.633 4.633 5.082
angles (deg): 90.00 90.00 90.00
Each line ends with the local moment (μB).
Positions (direct):
P  0.000  0.000  0.500  -0.77
S  0.000  0.500  0.000  -0.01
S  0.500  0.000  0.000  -0.01
Cl  0.000  0.000  0.000  -0.02
N  0.500  0.500  0.500  1.74


The following is a PBE calculation of crystalline LaTbPr6Nd2 at its relaxed geometry, from Alexandria via LeMat-Bulk.

The formation energy from the elements is 0.110 eV/atom.

a b c (Å): 10.051 9.081 9.081
angles (deg): 118.26 94.72 94.72
Positions (direct):
La  0.250  0.405  0.595
La  0.750  0.595  0.405
Pr  0.945  0.884  0.247
Pr  0.315  0.978  0.426
Pr  0.555  0.753  0.116
Pr  0.621  0.498  0.705
Pr  0.815  0.426  0.978
Pr  0.379  0.502  0.295
Pr  0.055  0.116  0.753
Pr  0.121  0.705  0.498
Pr  0.445  0.247  0.884
Pr  0.879  0.295  0.502
Pr  0.685  0.022  0.574
Pr  0.185  0.574  0.022
Nd  0.957  0.713  0.811
Nd  0.043  0.287  0.189
Nd  0.543  0.189  0.287
Nd  0.457  0.811  0.713
Tb  0.250  0.978  0.022
Tb  0.750  0.022  0.978


The following is a PBE calculation of crystalline Li2PCl at its relaxed geometry, from Alexandria via LeMat-Bulk.

The calculation puts the uncorrected formation energy at -0.343 eV/atom. The calculation puts the energy relative to the lowest polymorph listed for this composition at 500 meV per atom.

a b c (Å): 4.686 4.686 4.686
angles (deg): 60.00 60.00 60.00
Each line ends with the local moment (μB).
Positions (direct):
Cl  0.500  0.500  0.500  0.30
Li  0.250  0.250  0.250  0.02
Li  0.750  0.750  0.750  0.02
P  0.000  0.000  0.000  0.69


The following is a PBE calculation of crystalline MnZn2Tc at its relaxed geometry, from Alexandria via LeMat-Bulk.

The formation energy from the elements is 0.161 eV/atom. The calculation puts the energy relative to the lowest polymorph listed for this composition at 154 meV per atom.

a b c (Å): 2.716 2.716 9.013
angles (deg): 81.26 81.26 59.91
Each line ends with the local moment (μB).
Positions (direct):
Tc  0.500  0.500  0.500  0.01
Mn  0.667  0.667  0.000  2.93
Zn  0.082  0.082  0.754  -0.02
Zn  0.252  0.252  0.246  -0.03


The following is a PBE calculation of crystalline NdY2Au at its relaxed geometry, from Alexandria via LeMat-Bulk.

The formation energy from the elements is -0.409 eV/atom. The calculation puts the energy relative to the lowest polymorph listed for this composition at 25 meV per atom.

a b c (Å): 5.023 6.585 7.750
angles (deg): 90.00 90.00 112.48
Positions (direct):
Y  0.646  0.292  0.033
Y  0.354  0.708  0.533
Y  0.354  0.708  0.967
Y  0.646  0.292  0.467
Au  0.799  0.598  0.750
Au  0.201  0.402  0.250
Nd  0.047  0.094  0.750
Nd  0.953  0.906  0.250


The following is a PBE calculation of crystalline KNa3Th2S6 at its relaxed geometry, from Alexandria via LeMat-Bulk.

The calculation puts the uncorrected formation energy at -1.613 eV/atom.

a b c (Å): 4.205 8.502 9.165
angles (deg): 100.95 103.26 90.00
Positions (direct):
S  0.011  0.274  0.022
S  0.326  0.438  0.653
S  0.989  0.726  0.978
S  0.678  0.120  0.356
S  0.674  0.562  0.347
S  0.322  0.880  0.644
K  0.500  0.000  0.000
Na  0.157  0.828  0.314
Na  0.843  0.172  0.686
Na  0.500  0.500  0.000
Th  0.161  0.328  0.323
Th  0.839  0.672  0.677


The following is a PBE calculation of crystalline ZnSiHg2 at its relaxed geometry, from Alexandria via LeMat-Bulk.

The calculation puts the uncorrected formation energy at 0.361 eV/atom. The calculation puts the energy relative to the lowest polymorph listed for this composition at 123 meV per atom.

a b c (Å): 4.492 4.492 9.244
angles (deg): 75.94 75.94 90.00
Positions (direct):
Hg  0.375  0.377  0.750
Hg  0.127  0.625  0.250
Hg  0.623  0.125  0.250
Hg  0.875  0.873  0.750
Zn  0.750  0.250  0.500
Zn  0.000  0.000  0.000
Si  0.500  0.500  0.000
Si  0.250  0.750  0.500


The following is a PBE calculation of crystalline BaHCl3 at its relaxed geometry, from Alexandria via LeMat-Bulk.

The calculation puts the energy relative to the lowest polymorph listed for this composition at 934 meV per atom.

a b c (Å): 6.151 6.151 6.151
angles (deg): 90.00 90.00 90.00
Each line ends with the local moment (μB).
Positions (direct):
Cl  0.000  0.000  0.500  -0.15
Cl  0.000  0.500  0.000  -0.29
Cl  0.500  0.000  0.000  -0.25
Ba  0.000  0.000  0.000  0.01
H  0.500  0.500  0.500  0.36


The following is a PBE calculation of crystalline PrTm2Th at its relaxed geometry, from Alexandria via LeMat-Bulk.

The formation energy from the elements is 0.018 eV/atom. The calculation puts the energy relative to the lowest polymorph listed for this composition at 8 meV per atom.

a b c (Å): 3.580 3.580 11.679
angles (deg): 81.18 81.18 60.00
Positions (direct):
Tm  0.748  0.748  0.757
Tm  0.252  0.252  0.243
Th  0.000  0.000  0.000
Pr  0.500  0.500  0.500


The following is a PBE calculation of crystalline MnIn5 at its relaxed geometry, from Alexandria via LeMat-Bulk.

The formation energy from the elements is 0.173 eV/atom.

a b c (Å): 7.226 7.226 4.631
angles (deg): 90.00 90.00 143.25
Each line ends with the local moment (μB).
Positions (direct):
In  0.843  0.157  0.000  0.00
In  0.662  0.338  0.500  0.00
In  0.000  0.000  0.500  -0.01
In  0.338  0.662  0.500  0.00
In  0.157  0.843  0.000  0.00
Mn  0.500  0.500  0.000  3.91


What are the total moment values for these records? In order: 0.00, 0.00, 0.00, 0.80, 0.00, 2.00, 2.99, 0.00, 0.00, 0.00, 0.00, 0.00, 4.14 Bohr magnetons per cell.
What are the mass density values for these records? In order: 11.12, 9.21, 7.48, 2.20, 6.60, 1.83, 8.32, 7.28, 4.06, 9.38, 1.75, 9.25, 7.22 g/cm3.